# 1
The following is a PBE calculation of crystalline AcMgTl2 at its relaxed geometry, from the Alexandria database.

Cell and atoms, written as CIF:
```
data_AcMgTl2
_cell_length_a 5.1063
_cell_length_b 5.1063
_cell_length_c 4.7139
_cell_angle_alpha 90.00
_cell_angle_beta 90.00
_cell_angle_gamma 90.00
_space_group_name_H-M_alt 'P 4/m m m'
_space_group_IT_number 123
_space_group_name_Hall '-P 4 2'
loop_
_atom_site_label
_atom_site_type_symbol
_atom_site_fract_x
_atom_site_fract_y
_atom_site_fract_z
Ac1 Ac 0.0000 0.0000 0.0000
Mg1 Mg 0.5000 0.5000 0.0000
Tl1 Tl 0.0000 0.5000 0.5000
```

Values from the calculation:
E_form: -90.9 kJ/mol of formula units
Offset from the most stable computed form: 0.053 eV per atom
E: -2.845 eV per atom

=====

# 2
The following is a PBE calculation of crystalline Pr3MgB2Pt9 at its relaxed geometry, from the Alexandria database.

Cell and atoms, written as CIF:
```
data_Pr3MgB2Pt9
_cell_length_a 5.8388
_cell_length_b 5.8388
_cell_length_c 9.4448
_cell_angle_alpha 90.00
_cell_angle_beta 90.00
_cell_angle_gamma 120.00
_space_group_name_H-M_alt 'P -3 m 1'
_space_group_IT_number 164
_space_group_name_Hall '-P 3 2"'
loop_
_atom_site_label
_atom_site_type_symbol
_atom_site_fract_x
_atom_site_fract_y
_atom_site_fract_z
Pr1 Pr 0.0000 0.0000 0.0000
Pr2 Pr 0.3333 0.6667 0.6205
Mg1 Mg 0.0000 0.0000 0.5000
B1 B 0.3333 0.6667 0.1479
Pt1 Pt 0.0000 0.5000 0.0000
Pt2 Pt 0.1653 0.3307 0.2817
```

Values from the calculation:
E_form: -1153.8 kJ/mol of formula units
E: -6.374 eV per atom

=====

# 3
The following is a PBE calculation of crystalline LaPb5 at its relaxed geometry, from the Alexandria database.

Cell and atoms, written as CIF:
```
data_LaPb5
_cell_length_a 5.0174
_cell_length_b 15.5798
_cell_length_c 4.7851
_cell_angle_alpha 90.00
_cell_angle_beta 90.00
_cell_angle_gamma 90.00
_space_group_name_H-M_alt 'C m m m'
_space_group_IT_number 65
_space_group_name_Hall '-C 2 2'
loop_
_atom_site_label
_atom_site_type_symbol
_atom_site_fract_x
_atom_site_fract_y
_atom_site_fract_z
La1 La 0.0000 0.0000 0.0000
Pb1 Pb 0.0000 0.1690 0.5000
Pb2 Pb 0.0000 0.3342 0.0000
Pb3 Pb 0.0000 0.5000 0.5000
```

Values from the calculation:
E_form: -129.9 kJ/mol of formula units
Offset from the most stable computed form: 0.000 eV per atom
E: -4.136 eV per atom

=====

# 4
The following is a PBE calculation of crystalline CsKO2 at its relaxed geometry, from the Alexandria database.

Cell and atoms, written as CIF:
```
data_CsKO2
_cell_length_a 4.5742
_cell_length_b 6.0165
_cell_length_c 7.4140
_cell_angle_alpha 90.00
_cell_angle_beta 90.00
_cell_angle_gamma 90.00
_space_group_name_H-M_alt 'A m m 2'
_space_group_IT_number 38
_space_group_name_Hall 'A 2 -2'
loop_
_atom_site_label
_atom_site_type_symbol
_atom_site_fract_x
_atom_site_fract_y
_atom_site_fract_z
Cs1 Cs 0.0000 0.0000 0.0000
K1 K 0.5000 0.0000 0.4492
O1 O 0.5000 0.1260 0.7801
```

Values from the calculation:
Formation energy (no corrections): -0.946 eV/atom
E: -3.912 eV per atom

=====

# 5
The following is a PBE calculation of crystalline CaCo at its relaxed geometry, from the Alexandria database.

Cell and atoms, written as CIF:
```
data_CaCo
_cell_length_a 11.3085
_cell_length_b 3.6685
_cell_length_c 4.6470
_cell_angle_alpha 90.00
_cell_angle_beta 114.17
_cell_angle_gamma 90.00
_space_group_name_H-M_alt 'C 1 2/m 1'
_space_group_IT_number 12
_space_group_name_Hall '-C 2y'
loop_
_atom_site_label
_atom_site_type_symbol
_atom_site_fract_x
_atom_site_fract_y
_atom_site_fract_z
Ca1 Ca 0.1117 0.0000 0.3615
Co1 Co 0.1900 0.5000 0.9397
```

Values from the calculation:
E_form: 45.1 kJ/mol of formula units
E: -4.320 eV per atom

=====

# 6
The following is a PBE calculation of crystalline Mo2OsBr at its relaxed geometry, from the Alexandria database.

Cell and atoms, written as CIF:
```
data_Mo2OsBr
_cell_length_a 10.0676
_cell_length_b 2.9865
_cell_length_c 4.4656
_cell_angle_alpha 90.00
_cell_angle_beta 94.45
_cell_angle_gamma 90.00
_space_group_name_H-M_alt 'C 1 m 1'
_space_group_IT_number 8
_space_group_name_Hall 'C -2y'
loop_
_atom_site_label
_atom_site_type_symbol
_atom_site_fract_x
_atom_site_fract_y
_atom_site_fract_z
Mo1 Mo 0.0000 0.0000 0.0000
Mo2 Mo 0.2025 0.5000 0.2726
Os1 Os 0.4318 0.0000 0.4371
Br1 Br 0.2201 0.0000 0.7444
```

Values from the calculation:
Formation energy (no corrections): 0.710 eV/atom
Offset from the most stable computed form: 0.236 eV per atom
E: -7.931 eV per atom